HoCoBRh2: optimized geometry, PBE.

Output
Its crystal system is tetragonal. The calculation puts the energy of formation at -0.649 eV/atom.

abc: 4.010 4.187 4.187
angles: 90.00 90.00 90.00
Site moments in Bohr magnetons follow the coordinates.
Element x y z (fractional)
Ho 0.500 0.500 0.500  -0.10
Co 0.500 0.000 0.000  0.85
B 0.000 0.000 0.000  -0.04
Rh 0.000 0.000 0.500  0.15
Rh 0.000 0.500 0.000  0.15

Ho2Co3B12Ru: optimized geometry, PBE.

Output
Its crystal system is trigonal. The calculation puts the energy of formation at 0.029 eV/atom.

abc: 8.330 8.330 8.330
angles: 37.11 37.11 37.11
Site moments in Bohr magnetons follow the coordinates.
Element x y z (fractional)
Ho 0.637 0.637 0.637  0.04
Ho 0.363 0.363 0.363  0.04
Co 0.500 0.000 0.000  0.70
Co 0.000 0.500 0.000  0.70
Co 0.000 0.000 0.500  0.70
B 0.343 0.343 0.022  0.00
B 0.957 0.957 0.322  0.01
B 0.322 0.957 0.957  0.01
B 0.022 0.343 0.343  0.00
B 0.957 0.322 0.957  0.01
B 0.343 0.022 0.343  0.00
B 0.657 0.657 0.978  0.00
B 0.043 0.043 0.678  0.01
B 0.678 0.043 0.043  0.01
B 0.978 0.657 0.657  0.00
B 0.043 0.678 0.043  0.01
B 0.657 0.978 0.657  0.00
Ru 0.000 0.000 0.000  0.12

HoCoB2Ru: optimized geometry, PBE.

Output
Its crystal system is tetragonal. The calculation puts the energy of formation at -0.529 eV/atom.

abc: 3.751 3.751 5.363
angles: 110.47 110.47 90.00
Element x y z (fractional)
Ho 0.000 0.000 0.000
Co 0.750 0.250 0.500
B 0.657 0.657 0.313
B 0.343 0.343 0.687
Ru 0.250 0.750 0.500

Ho2Co5SiB2: optimized geometry, PBE.

Output
Its crystal system is tetragonal. The formation energy without anion corrections comes out at -0.451 eV/atom.

abc: 3.036 8.866 8.866
angles: 90.00 90.00 90.00
Element x y z (fractional)
Ho 0.000 0.678 0.178
Ho 0.000 0.322 0.822
Ho 0.000 0.178 0.322
Ho 0.000 0.822 0.678
Co 0.500 0.221 0.067
Co 0.500 0.779 0.933
Co 0.500 0.067 0.779
Co 0.500 0.721 0.433
Co 0.500 0.933 0.221
Co 0.500 0.279 0.567
Co 0.500 0.567 0.721
Co 0.500 0.433 0.279
Co 0.500 0.500 0.000
Co 0.500 0.000 0.500
Si 0.000 0.000 0.000
Si 0.000 0.500 0.500
B 0.000 0.118 0.618
B 0.000 0.882 0.382
B 0.000 0.618 0.882
B 0.000 0.382 0.118

HoCo3SiB: optimized geometry, PBE.

Output
Its crystal system is orthorhombic. The formation energy without anion corrections comes out at -0.411 eV/atom.

abc: 5.446 5.296 6.069
angles: 115.87 90.00 90.00
Element x y z (fractional)
Ho 0.750 0.263 0.525
Ho 0.250 0.737 0.475
Co 0.250 0.170 0.341
Co 0.000 0.256 0.000
Co 0.500 0.744 0.000
Co 0.500 0.256 0.000
Co 0.000 0.744 0.000
Co 0.750 0.830 0.659
Si 0.250 0.372 0.744
Si 0.750 0.628 0.256
B 0.250 0.990 0.979
B 0.750 0.010 0.021

Ho2Co3TcB12: optimized geometry, PBE.

Output
Its crystal system is trigonal. The calculation puts the energy of formation at 0.064 eV/atom.

abc: 8.372 8.372 8.372
angles: 36.98 36.98 36.98
Site moments in Bohr magnetons follow the coordinates.
Element x y z (fractional)
Ho 0.635 0.635 0.635  0.04
Ho 0.365 0.365 0.365  0.04
Co 0.500 0.000 0.000  0.59
Co 0.000 0.500 0.000  0.59
Co 0.000 0.000 0.500  0.59
Tc 0.000 0.000 0.000  0.09
B 0.342 0.342 0.021  0.00
B 0.956 0.956 0.323  0.01
B 0.323 0.956 0.956  0.01
B 0.021 0.342 0.342  0.00
B 0.956 0.323 0.956  0.01
B 0.342 0.021 0.342  0.00
B 0.658 0.658 0.979  0.00
B 0.044 0.044 0.677  0.01
B 0.677 0.044 0.044  0.01
B 0.979 0.658 0.658  0.00
B 0.044 0.677 0.044  0.01
B 0.658 0.979 0.658  0.00

CoB3I: optimized geometry, PBE.

Output
The polymorph energy (0 for the lowest one) comes out at 0 meV/atom. Its crystal system is cubic. The formation energy without anion corrections comes out at 1.317 eV/atom.

abc: 4.044 4.044 4.044
angles: 90.00 90.00 90.00
Element x y z (fractional)
I 0.500 0.500 0.500
B 0.000 0.500 0.000
B 0.000 0.000 0.500
B 0.500 0.000 0.000
Co 0.000 0.000 0.000

CoBI3: optimized geometry, PBE.

Output
The polymorph energy (0 for the lowest one) comes out at 79 meV/atom. Its crystal system is cubic. The formation energy without anion corrections comes out at 1.205 eV/atom.

abc: 5.113 5.113 5.113
angles: 90.00 90.00 90.00
Site moments in Bohr magnetons follow the coordinates.
Element x y z (fractional)
I 0.000 0.500 0.000  0.07
I 0.000 0.000 0.500  0.04
I 0.500 0.000 0.000  0.05
B 0.000 0.000 0.000  0.00
Co 0.500 0.500 0.500  2.29

CoB2I8: optimized geometry, PBE.

Output
Its crystal system is monoclinic. The formation energy without anion corrections comes out at 0.017 eV/atom.

abc: 9.827 10.993 11.476
angles: 68.01 64.65 63.45
Site moments in Bohr magnetons follow the coordinates.
Element x y z (fractional)
Co 0.981 0.750 0.250  2.30
Co 0.019 0.250 0.750  2.30
B 0.861 0.872 0.967  -0.01
B 0.300 0.372 0.467  -0.01
B 0.700 0.628 0.533  -0.01
B 0.139 0.128 0.033  -0.01
I 0.441 0.737 0.559  0.03
I 0.114 0.949 0.214  0.07
I 0.728 0.949 0.157  0.09
I 0.181 0.224 0.492  0.08
I 0.272 0.051 0.843  0.09
I 0.896 0.276 0.008  0.08
I 0.819 0.776 0.508  0.08
I 0.166 0.449 0.657  0.09
I 0.104 0.724 0.992  0.08
I 0.737 0.763 0.941  0.03
I 0.723 0.449 0.714  0.07
I 0.277 0.551 0.286  0.07
I 0.263 0.237 0.059  0.03
I 0.834 0.551 0.343  0.09
I 0.559 0.263 0.441  0.03
I 0.886 0.051 0.786  0.07

CoBI3: optimized geometry, PBE.

Output
The polymorph energy (0 for the lowest one) comes out at 0 meV/atom. Its crystal system is cubic. The formation energy without anion corrections comes out at 1.126 eV/atom.

abc: 5.320 5.320 5.320
angles: 90.00 90.00 90.00
Site moments in Bohr magnetons follow the coordinates.
Element x y z (fractional)
I 0.000 0.500 0.000  0.01
I 0.000 0.000 0.500  0.04
I 0.500 0.000 0.000  0.03
B 0.500 0.500 0.500  -0.03
Co 0.000 0.000 0.000  1.50

CoB3I: optimized geometry, PBE.

Output
The polymorph energy (0 for the lowest one) comes out at 1665 meV/atom. Its crystal system is cubic. The formation energy without anion corrections comes out at 2.982 eV/atom.

abc: 4.376 4.376 4.376
angles: 90.00 90.00 90.00
Site moments in Bohr magnetons follow the coordinates.
Element x y z (fractional)
I 0.000 0.000 0.000  0.00
B 0.000 0.500 0.000  -0.02
B 0.000 0.000 0.500  -0.03
B 0.500 0.000 0.000  0.01
Co 0.500 0.500 0.500  2.06

K2CoBI: optimized geometry, PBE.

Output
Its crystal system is tetragonal. The formation energy without anion corrections comes out at 0.172 eV/atom.

abc: 6.234 3.859 6.234
angles: 90.00 90.00 90.00
Site moments in Bohr magnetons follow the coordinates.
Element x y z (fractional)
I 0.500 0.500 0.500  -0.01
K 0.000 0.000 0.500  -0.01
K 0.500 0.000 0.000  -0.01
B 0.000 0.000 0.000  -0.20
Co 0.000 0.500 0.000  1.31

Number 1: ρ 10.4 g/cm³. Number 2: ρ 6.5 g/cm³. Number 3: ρ 8.8 g/cm³. Number 4: ρ 9.4 g/cm³. Number 5: ρ 8.0 g/cm³. Number 6: ρ 6.4 g/cm³. Number 7: ρ 5.5 g/cm³. Number 8: ρ 5.6 g/cm³. Number 9: ρ 3.7 g/cm³. Number 10: ρ 5.0 g/cm³. Number 11: ρ 4.3 g/cm³. Number 12: ρ 3.0 g/cm³.